Record 1
Here is a relaxed Ce12Ga6C crystal from Alexandria. Energies are from GGA-PBE.

symmetry	R-3
DOS at the Fermi energy	2.3540	states/eV/atom

Lattice parameters (Å, degrees): 7.8919 7.8919 7.8919 93.97 93.97 93.97
Closest atoms and distances in Å follow each position.
Fractional positions:
Ce: 0.0196 0.3104 0.0864  1 C 2.49
Ce: 0.0864 0.0196 0.3104  1 C 2.49
Ce: 0.2336 0.5934 0.4622  2 Ce 2.76, 2 Ga 2.90-2.99
Ce: 0.3104 0.0864 0.0196  1 C 2.49
Ce: 0.4066 0.5378 0.7664  2 Ce 2.76, 2 Ga 2.90-2.99
Ce: 0.4622 0.2336 0.5934  2 Ce 2.76, 2 Ga 2.90-2.99
Ce: 0.5378 0.7664 0.4066  2 Ce 2.76, 2 Ga 2.90-2.99
Ce: 0.5934 0.4622 0.2336  2 Ce 2.76, 2 Ga 2.90-2.99
Ce: 0.6896 0.9136 0.9804  1 C 2.49
Ce: 0.7664 0.4066 0.5378  2 Ce 2.76, 2 Ga 2.90-2.99
Ce: 0.9136 0.9804 0.6896  1 C 2.49
Ce: 0.9804 0.6896 0.9136  1 C 2.49
Ga: 0.1006 0.3117 0.6922  6 Ce 2.90-3.22
Ga: 0.3078 0.8994 0.6883  6 Ce 2.90-3.22
Ga: 0.3117 0.6922 0.1006  6 Ce 2.90-3.22
Ga: 0.6883 0.3078 0.8994  6 Ce 2.90-3.22
Ga: 0.6922 0.1006 0.3117  6 Ce 2.90-3.22
Ga: 0.8994 0.6883 0.3078  6 Ce 2.90-3.22
C: 0.0000 0.0000 0.0000  6 Ce 2.49


Record 2
Here is a relaxed Ce6GaC crystal from Alexandria. Energies are from GGA-PBE.

symmetry	P-1
DOS at the Fermi energy	2.4728	states/eV/atom

Lattice parameters (Å, degrees): 5.7717 6.0548 6.0648 97.42 106.48 103.81
Closest atoms and distances in Å follow each position.
Fractional positions:
Ce: 0.1224 0.2246 0.1490  1 C 2.60, 2 Ce 2.85-2.88
Ce: 0.2526 0.7767 0.4465  1 C 2.44
Ce: 0.2679 0.3609 0.7578  1 C 2.44
Ce: 0.7321 0.6391 0.2422  1 C 2.44
Ce: 0.7474 0.2233 0.5535  1 C 2.44
Ce: 0.8776 0.7754 0.8510  1 C 2.60, 2 Ce 2.85-2.88
Ga: 0.5000 0.0000 0.0000  8 Ce 3.10-3.33
C: 0.5000 0.5000 0.5000  6 Ce 2.44-2.60


Record 3
Here is a relaxed Ce5Ga2C2 crystal from Alexandria. Energies are from GGA-PBE.

symmetry	Ima2
DOS at the Fermi energy	2.0936	states/eV/atom
offset from the most stable computed form	0	meV/atom

Lattice parameters (Å, degrees): 10.6855 10.6855 10.6855 54.42 141.50 143.06
Closest atoms and distances in Å follow each position.
Fractional positions:
Ce: 0.2331 0.4064 0.1033  1 C 2.36
Ce: 0.2331 0.6298 0.3267  1 C 2.36
Ce: 0.2471 0.0084 0.2555  2 C 2.45
Ce: 0.2471 0.4916 0.7387  2 C 2.45
Ce: 0.3031 0.1298 0.8967  1 C 2.36
Ce: 0.3031 0.9064 0.6733  1 C 2.36
Ce: 0.7291 0.5844 0.6447  2 C 2.34-2.43
Ce: 0.7529 0.5084 0.2613  2 C 2.45
Ce: 0.7529 0.9916 0.7445  2 C 2.45
Ce: 0.9397 0.0844 0.3553  2 C 2.34-2.43
Ga: 0.7239 0.1426 0.3736  7 Ce 2.98-3.31
Ga: 0.7239 0.8503 0.0813  7 Ce 2.98-3.31
Ga: 0.7690 0.3503 0.6264  7 Ce 2.98-3.31
Ga: 0.7690 0.6426 0.9187  7 Ce 2.98-3.31
C: 0.1015 0.9430 0.6585  4 Ce 2.34-2.43
C: 0.2538 0.2538 0.0000  6 Ce 2.45-2.64
C: 0.2538 0.7538 0.5000  6 Ce 2.45-2.64
C: 0.2844 0.4430 0.3415  4 Ce 2.34-2.43


Record 4
Here is a relaxed Ce4GaC2 crystal from Alexandria. Energies are from GGA-PBE.

symmetry	Cmcm
DOS at the Fermi energy	1.7377	states/eV/atom
offset from the most stable computed form	0	meV/atom

Lattice parameters (Å, degrees): 6.4554 6.4554 13.2199 90.00 90.00 146.67
Closest atoms and distances in Å follow each position.
Fractional positions:
Ce: 0.0000 0.0000 0.0000  4 C 2.63
Ce: 0.0000 0.0000 0.5000  4 C 2.63
Ce: 0.2683 0.7317 0.6034  3 C 2.53-2.54
Ce: 0.2683 0.7317 0.8966  3 C 2.53-2.54
Ce: 0.4161 0.5839 0.2500  2 C 2.53
Ce: 0.5839 0.4161 0.7500  2 C 2.53
Ce: 0.7317 0.2683 0.1034  3 C 2.53-2.54
Ce: 0.7317 0.2683 0.3966  3 C 2.53-2.54
Ga: 0.1084 0.8916 0.2500  6 Ce 3.01-3.08
Ga: 0.8916 0.1084 0.7500  6 Ce 3.01-3.08
C: 0.3657 0.6343 0.0649  6 Ce 2.53-2.63
C: 0.3657 0.6343 0.4351  6 Ce 2.53-2.63
C: 0.6343 0.3657 0.5649  6 Ce 2.53-2.63
C: 0.6343 0.3657 0.9351  6 Ce 2.53-2.63


Record 5
Here is a relaxed Ce2Ga2Os2C crystal from Alexandria. Energies are from GGA-PBE.

symmetry	C2/m
DOS at the Fermi energy	1.3535	states/eV/atom

Lattice parameters (Å, degrees): 5.9971 5.9971 7.1393 126.38 126.38 41.32
Closest atoms and distances in Å follow each position.
Fractional positions:
Ce: 0.0588 0.0588 0.3298  2 C 2.72
Ce: 0.9412 0.9412 0.6702  2 C 2.72
Ga: 0.3479 0.3479 0.8891  3 Os 2.52-2.55, 1 Ga 2.70
Ga: 0.6521 0.6521 0.1109  3 Os 2.52-2.55, 1 Ga 2.70
Os: 0.3006 0.3006 0.1946  1 C 1.89
Os: 0.6994 0.6994 0.8054  1 C 1.89
C: 0.5000 0.5000 0.5000  2 Os 1.89


Record 6
Here is a relaxed Ce2Ga2Ru4C crystal from Alexandria. Energies are from GGA-PBE.

symmetry	I4/mmm
DOS at the Fermi energy	0.4100	states/eV/atom

Lattice parameters (Å, degrees): 5.8681 5.8681 5.8681 118.21 118.21 93.14
Closest atoms and distances in Å follow each position.
Fractional positions:
Ce: 0.2139 0.2139 0.0000  1 C 2.31
Ce: 0.7861 0.7861 0.0000  1 C 2.31
Ga: 0.2500 0.7500 0.5000  8 Ru 2.93, 4 Ce 3.03
Ga: 0.7500 0.2500 0.5000  8 Ru 2.93, 4 Ce 3.03
Ru: 0.2558 0.2558 0.5116  1 C 2.08
Ru: 0.2558 0.7442 0.0000  1 C 2.08
Ru: 0.7442 0.2558 0.0000  1 C 2.08
Ru: 0.7442 0.7442 0.4884  1 C 2.08
C: 0.5000 0.5000 0.0000  4 Ru 2.08, 2 Ce 2.31


| no. | E_form (kJ/mol of atoms) |
| --- | --- |
| 1 | -18 |
| 2 | -11 |
| 3 | -18 |
| 4 | -19 |
| 5 | -39 |
| 6 | -15 |